# NaMg2SiIr

A relaxed NaMg2SiIr crystal (PBE-GGA, Alexandria).

Results
- E_tot: -3.9804 eV per atom
- SG: P4/mmm (123)

Cell: 5.0871 5.0871 4.5714 Å, 90.00 90.00 90.00°
Positions (direct):
Na1 0.5000 0.5000 0.5000
Mg1 0.0000 0.5000 0.0000
Mg2 0.5000 0.0000 0.0000
Ir1 0.0000 0.0000 0.0000
Si1 0.0000 0.0000 0.5000